Entry 1:
A plane-wave DFT calculation with PBE was carried out for a relaxed structure of VCuTc2I.

Values from the calculation:
For the density of states at the Fermi level, the calculation gives 2.8 states/eV/f.u. The value obtained for the formation energy without anion corrections is 726 kJ/mol of formula units. As for the electronic total energy: -5.595 eV per atom.

Cell lengths 4.549, 4.549, 5.161 Å; angles 90.00, 90.00, 90.00 degrees
Fractional positions:
1 V 0.000 0.000 0.000
2 Cu 0.500 0.500 0.500
3 Tc 0.000 0.500 0.000
4 Tc 0.500 0.000 0.000
5 I 0.000 0.000 0.500

---

Entry 2:
A plane-wave DFT calculation with PBE was carried out for a relaxed structure of CuTeI2.

Values from the calculation:
For the density of states at the Fermi level, the calculation gives 0.5 states/eV/f.u. The value obtained for the formation energy without anion corrections is 7 kJ/mol of formula units. As for the electronic total energy: -2.567 eV per atom.

Cell lengths 8.025, 11.105, 6.448 Å; angles 90.00, 90.00, 90.00 degrees
Fractional positions:
1 Cu 0.015 0.114 0.000
2 Cu 0.485 0.614 0.500
3 Cu 0.515 0.386 0.000
4 Cu 0.985 0.886 0.500
5 Te 0.037 0.473 0.130
6 Te 0.463 0.973 0.630
7 Te 0.537 0.027 0.130
8 Te 0.963 0.527 0.630
9 I 0.089 0.095 0.615
10 I 0.200 0.722 0.631
11 I 0.300 0.222 0.131
12 I 0.411 0.595 0.115
13 I 0.589 0.405 0.615
14 I 0.700 0.778 0.631
15 I 0.800 0.278 0.131
16 I 0.911 0.905 0.115

---

Entry 3:
A plane-wave DFT calculation with PBE was carried out for a relaxed structure of CuTeI3.

Values from the calculation:
The offset from the most stable computed form is 31.1 kJ/mol of atoms. For the density of states at the Fermi level, the calculation gives 5.1 states/eV/f.u. The value obtained for the formation energy without anion corrections is 147 kJ/mol of formula units. As for the electronic total energy: -2.072 eV per atom.

Cell lengths 5.373, 5.373, 5.373 Å; angles 90.00, 90.00, 90.00 degrees
Fractional positions:
1 Cu 0.000 0.000 0.000
2 Te 0.500 0.500 0.500
3 I 0.000 0.000 0.500
4 I 0.000 0.500 0.000
5 I 0.500 0.000 0.000

---

Entry 4:
A plane-wave DFT calculation with PBE was carried out for a relaxed structure of Cu3TeI9.

Values from the calculation:
The value obtained for the formation energy without anion corrections is -95 kJ/mol of formula units. As for the electronic total energy: -2.336 eV per atom.

Cell lengths 11.662, 11.662, 14.112 Å; angles 122.40, 122.40, 45.90 degrees
Fractional positions:
1 Cu 0.085 0.915 0.500
2 Cu 0.256 0.476 0.555
3 Cu 0.476 0.256 0.055
4 Cu 0.524 0.740 0.441
5 Cu 0.740 0.524 0.941
6 Cu 0.915 0.085 0.000
7 Te 0.500 0.999 0.249
8 Te 0.999 0.500 0.749
9 I 0.085 0.160 0.683
10 I 0.102 0.384 0.540
11 I 0.148 0.784 0.636
12 I 0.160 0.085 0.183
13 I 0.214 0.853 0.363
14 I 0.353 0.373 0.888
15 I 0.373 0.353 0.388
16 I 0.384 0.102 0.040
17 I 0.498 0.500 0.249
18 I 0.500 0.498 0.749
19 I 0.615 0.895 0.458
20 I 0.627 0.646 0.110
21 I 0.646 0.627 0.610
22 I 0.784 0.148 0.136
23 I 0.841 0.913 0.317
24 I 0.853 0.214 0.863
25 I 0.895 0.615 0.958
26 I 0.913 0.841 0.817

---

Entry 5:
A plane-wave DFT calculation with PBE was carried out for a relaxed structure of Cu4Te3I.

Values from the calculation:
For the density of states at the Fermi level, the calculation gives 6.1 states/eV/f.u. The value obtained for the formation energy without anion corrections is -27 kJ/mol of formula units. As for the electronic total energy: -3.455 eV per atom.

Cell lengths 8.259, 7.189, 7.084 Å; angles 90.00, 90.00, 90.00 degrees
Fractional positions:
1 Cu 0.000 0.163 0.000
2 Cu 0.000 0.820 0.522
3 Cu 0.242 0.663 0.023
4 Cu 0.258 0.337 0.523
5 Cu 0.500 0.180 0.022
6 Cu 0.500 0.837 0.500
7 Cu 0.742 0.337 0.523
8 Cu 0.758 0.663 0.023
9 Te 0.000 0.829 0.881
10 Te 0.249 0.336 0.881
11 Te 0.251 0.664 0.381
12 Te 0.500 0.171 0.381
13 Te 0.749 0.664 0.381
14 Te 0.751 0.336 0.881
15 I 0.000 0.162 0.380
16 I 0.500 0.838 0.880

---

Entry 6:
A plane-wave DFT calculation with PBE was carried out for a relaxed structure of Cu2Te2I.

Values from the calculation:
For the density of states at the Fermi level, the calculation gives 2.5 states/eV/f.u. The value obtained for the formation energy without anion corrections is -32 kJ/mol of formula units. As for the electronic total energy: -3.272 eV per atom.

Cell lengths 4.011, 6.305, 6.508 Å; angles 67.04, 72.05, 71.52 degrees
Fractional positions:
1 Cu 0.175 0.112 0.037
2 Cu 0.825 0.888 0.963
3 Te 0.355 0.630 0.159
4 Te 0.645 0.370 0.841
5 I 0.000 0.000 0.500

---

Entry 7:
A plane-wave DFT calculation with PBE was carried out for a relaxed structure of CuTeI3.

Values from the calculation:
The offset from the most stable computed form is 0.0 kJ/mol of atoms. For the density of states at the Fermi level, the calculation gives 3.5 states/eV/f.u. The value obtained for the formation energy without anion corrections is -8 kJ/mol of formula units. As for the electronic total energy: -2.395 eV per atom.

Cell lengths 3.953, 10.237, 10.299 Å; angles 118.98, 101.06, 90.02 degrees
Fractional positions:
1 Cu 0.117 0.373 0.233
2 Cu 0.883 0.627 0.767
3 Te 0.310 0.054 0.620
4 Te 0.690 0.946 0.380
5 I 0.043 0.809 0.085
6 I 0.353 0.765 0.706
7 I 0.368 0.440 0.737
8 I 0.632 0.560 0.263
9 I 0.647 0.235 0.294
10 I 0.957 0.191 0.915

---

Entry 8:
A plane-wave DFT calculation with PBE was carried out for a relaxed structure of Cu3TeI.

Values from the calculation:
The offset from the most stable computed form is 0.0 kJ/mol of atoms. For the density of states at the Fermi level, the calculation gives 0.0 states/eV/f.u. The value obtained for the formation energy without anion corrections is 158 kJ/mol of formula units. As for the electronic total energy: -3.069 eV per atom.

Cell lengths 4.994, 4.994, 4.994 Å; angles 90.00, 90.00, 90.00 degrees
Fractional positions:
1 Cu 0.000 0.000 0.500
2 Cu 0.000 0.500 0.000
3 Cu 0.500 0.000 0.000
4 Te 0.000 0.000 0.000
5 I 0.500 0.500 0.500

---

Entry 9:
A plane-wave DFT calculation with PBE was carried out for a relaxed structure of CuTe2I6.

Values from the calculation:
For the density of states at the Fermi level, the calculation gives 5.4 states/eV/f.u. The value obtained for the formation energy without anion corrections is -27 kJ/mol of formula units. As for the electronic total energy: -2.218 eV per atom.

Cell lengths 11.554, 11.554, 7.819 Å; angles 104.68, 104.68, 73.07 degrees
Fractional positions:
1 Cu 0.002 0.998 0.750
2 Cu 0.998 0.002 0.250
3 Te 0.088 0.410 0.668
4 Te 0.410 0.088 0.168
5 Te 0.590 0.912 0.832
6 Te 0.912 0.590 0.332
7 I 0.057 0.833 0.457
8 I 0.151 0.628 0.852
9 I 0.167 0.943 0.043
10 I 0.255 0.268 0.422
11 I 0.268 0.255 0.922
12 I 0.372 0.849 0.648
13 I 0.628 0.151 0.352
14 I 0.732 0.745 0.078
15 I 0.745 0.732 0.578
16 I 0.833 0.057 0.957
17 I 0.849 0.372 0.148
18 I 0.943 0.167 0.543

---

Entry 10:
A plane-wave DFT calculation with PBE was carried out for a relaxed structure of CuTeI2.

Values from the calculation:
For the density of states at the Fermi level, the calculation gives 2.0 states/eV/f.u. The value obtained for the formation energy without anion corrections is 44 kJ/mol of formula units. As for the electronic total energy: -2.469 eV per atom.

Cell lengths 9.302, 9.302, 9.302 Å; angles 25.31, 25.31, 25.31 degrees
Fractional positions:
1 Cu 0.000 0.000 0.000
2 Te 0.500 0.500 0.500
3 I 0.391 0.391 0.391
4 I 0.609 0.609 0.609

---

Entry 11:
A plane-wave DFT calculation with PBE was carried out for a relaxed structure of Cu2Te4I3.

Values from the calculation:
For the density of states at the Fermi level, the calculation gives 4.5 states/eV/f.u. The value obtained for the formation energy without anion corrections is 70 kJ/mol of formula units. As for the electronic total energy: -2.743 eV per atom.

Cell lengths 10.660, 10.660, 6.364 Å; angles 107.26, 107.26, 78.14 degrees
Fractional positions:
1 Cu 0.034 0.378 0.456
2 Cu 0.378 0.034 0.956
3 Cu 0.622 0.966 0.044
4 Cu 0.966 0.622 0.544
5 Te 0.158 0.179 0.918
6 Te 0.179 0.158 0.418
7 Te 0.212 0.539 0.622
8 Te 0.461 0.788 0.878
9 Te 0.539 0.212 0.122
10 Te 0.788 0.461 0.378
11 Te 0.821 0.842 0.582
12 Te 0.842 0.821 0.082
13 I 0.098 0.902 0.750
14 I 0.213 0.496 0.102
15 I 0.496 0.213 0.602
16 I 0.504 0.787 0.398
17 I 0.787 0.504 0.898
18 I 0.902 0.098 0.250

---

Entry 12:
A plane-wave DFT calculation with PBE was carried out for a relaxed structure of CuTeI6.

Values from the calculation:
For the density of states at the Fermi level, the calculation gives 4.7 states/eV/f.u. The value obtained for the formation energy without anion corrections is -29 kJ/mol of formula units. As for the electronic total energy: -2.105 eV per atom.

Cell lengths 7.263, 7.263, 8.194 Å; angles 104.27, 104.27, 105.82 degrees
Fractional positions:
1 Cu 0.000 0.000 0.000
2 Te 0.000 0.000 0.500
3 I 0.136 0.804 0.769
4 I 0.196 0.864 0.231
5 I 0.366 0.366 0.698
6 I 0.634 0.634 0.302
7 I 0.804 0.136 0.769
8 I 0.864 0.196 0.231

---

Entry 13:
A plane-wave DFT calculation with PBE was carried out for a relaxed structure of CuTe3I.

Values from the calculation:
For the density of states at the Fermi level, the calculation gives 2.2 states/eV/f.u. The value obtained for the formation energy without anion corrections is 32 kJ/mol of formula units. As for the electronic total energy: -2.947 eV per atom.

Cell lengths 9.835, 9.835, 7.715 Å; angles 106.47, 106.47, 94.02 degrees
Fractional positions:
1 Cu 0.070 0.323 0.006
2 Cu 0.323 0.070 0.506
3 Cu 0.677 0.930 0.494
4 Cu 0.930 0.677 0.994
5 Te 0.055 0.563 0.251
6 Te 0.190 0.209 0.270
7 Te 0.209 0.190 0.770
8 Te 0.218 0.456 0.701
9 Te 0.437 0.945 0.249
10 Te 0.456 0.218 0.201
11 Te 0.544 0.782 0.799
12 Te 0.563 0.055 0.751
13 Te 0.782 0.544 0.299
14 Te 0.791 0.810 0.230
15 Te 0.810 0.791 0.730
16 Te 0.945 0.437 0.749
17 I 0.153 0.847 0.750
18 I 0.397 0.603 0.250
19 I 0.603 0.397 0.750
20 I 0.847 0.153 0.250

---

Entry 14:
A plane-wave DFT calculation with PBE was carried out for a relaxed structure of Cu2TeI8.

Values from the calculation:
The offset from the most stable computed form is 0.0 kJ/mol of atoms. For the density of states at the Fermi level, the calculation gives 4.4 states/eV/f.u. The value obtained for the formation energy without anion corrections is -96 kJ/mol of formula units. As for the electronic total energy: -2.248 eV per atom.

Cell lengths 8.698, 8.698, 7.049 Å; angles 101.44, 101.44, 91.79 degrees
Fractional positions:
1 Cu 0.197 0.197 0.177
2 Cu 0.803 0.803 0.823
3 Te 0.000 0.000 0.500
4 I 0.064 0.735 0.702
5 I 0.228 0.228 0.834
6 I 0.265 0.936 0.298
7 I 0.422 0.422 0.301
8 I 0.578 0.578 0.699
9 I 0.735 0.064 0.702
10 I 0.772 0.772 0.166
11 I 0.936 0.265 0.298

---

Entry 15:
A plane-wave DFT calculation with PBE was carried out for a relaxed structure of CuTe2I2.

Values from the calculation:
The offset from the most stable computed form is 0.2 kJ/mol of atoms. The value obtained for the formation energy without anion corrections is 7 kJ/mol of formula units. As for the electronic total energy: -2.681 eV per atom.

Cell lengths 7.088, 7.088, 8.973 Å; angles 103.27, 103.27, 90.47 degrees
Fractional positions:
1 Cu 0.181 0.819 0.000
2 Cu 0.819 0.181 0.000
3 Te 0.118 0.118 0.248
4 Te 0.213 0.213 0.000
5 Te 0.787 0.787 0.000
6 Te 0.882 0.882 0.752
7 I 0.211 0.592 0.732
8 I 0.408 0.789 0.268
9 I 0.592 0.211 0.732
10 I 0.789 0.408 0.268

---

Entry 16:
A plane-wave DFT calculation with PBE was carried out for a relaxed structure of CuTe2I2.

Values from the calculation:
The offset from the most stable computed form is 10.5 kJ/mol of atoms. For the density of states at the Fermi level, the calculation gives 2.4 states/eV/f.u. The value obtained for the formation energy without anion corrections is 59 kJ/mol of formula units. As for the electronic total energy: -2.574 eV per atom.

Cell lengths 7.291, 7.291, 6.065 Å; angles 90.00, 90.00, 90.00 degrees
Fractional positions:
1 Cu 0.000 0.000 0.000
2 Cu 0.500 0.500 0.000
3 Te 0.165 0.335 0.000
4 Te 0.335 0.835 0.000
5 Te 0.665 0.165 0.000
6 Te 0.835 0.665 0.000
7 I 0.180 0.320 0.500
8 I 0.320 0.820 0.500
9 I 0.680 0.180 0.500
10 I 0.820 0.680 0.500

---

Entry 17:
A plane-wave DFT calculation with PBE was carried out for a relaxed structure of Cu7TeI12.

Values from the calculation:
For the density of states at the Fermi level, the calculation gives 21.0 states/eV/f.u. The value obtained for the formation energy without anion corrections is -46 kJ/mol of formula units. As for the electronic total energy: -2.545 eV per atom.

Cell lengths 9.084, 9.084, 9.084 Å; angles 107.88, 107.88, 107.88 degrees
Fractional positions:
1 Cu 0.000 0.000 0.000
2 Cu 0.150 0.449 0.389
3 Cu 0.389 0.150 0.449
4 Cu 0.449 0.389 0.150
5 Cu 0.551 0.611 0.850
6 Cu 0.611 0.850 0.551
7 Cu 0.850 0.551 0.611
8 Te 0.500 0.500 0.500
9 I 0.070 0.099 0.347
10 I 0.099 0.347 0.070
11 I 0.183 0.580 0.701
12 I 0.299 0.817 0.420
13 I 0.347 0.070 0.099
14 I 0.420 0.299 0.817
15 I 0.580 0.701 0.183
16 I 0.653 0.930 0.901
17 I 0.701 0.183 0.580
18 I 0.817 0.420 0.299
19 I 0.901 0.653 0.930
20 I 0.930 0.901 0.653

---

Entry 18:
A plane-wave DFT calculation with PBE was carried out for a relaxed structure of Cu2TeI4.

Values from the calculation:
The value obtained for the formation energy without anion corrections is -65 kJ/mol of formula units. As for the electronic total energy: -2.601 eV per atom.

Cell lengths 7.065, 7.065, 7.065 Å; angles 103.94, 103.94, 121.20 degrees
Fractional positions:
1 Cu 0.250 0.750 0.500
2 Cu 0.750 0.250 0.500
3 Te 0.000 0.000 0.000
4 I 0.138 0.320 0.458
5 I 0.320 0.862 0.182
6 I 0.680 0.138 0.818
7 I 0.862 0.680 0.542

---

Entry 19:
A plane-wave DFT calculation with PBE was carried out for a relaxed structure of CuTeI5.

Values from the calculation:
For the density of states at the Fermi level, the calculation gives 3.3 states/eV/f.u. The value obtained for the formation energy without anion corrections is -40 kJ/mol of formula units. As for the electronic total energy: -2.200 eV per atom.

Cell lengths 7.582, 7.582, 11.516 Å; angles 107.68, 107.68, 79.21 degrees
Fractional positions:
1 Cu 0.068 0.932 0.750
2 Cu 0.932 0.068 0.250
3 Te 0.000 0.500 0.000
4 Te 0.500 0.000 0.500
5 I 0.158 0.261 0.473
6 I 0.176 0.628 0.843
7 I 0.208 0.792 0.250
8 I 0.261 0.158 0.973
9 I 0.372 0.824 0.657
10 I 0.628 0.176 0.343
11 I 0.739 0.842 0.027
12 I 0.792 0.208 0.750
13 I 0.824 0.372 0.157
14 I 0.842 0.739 0.527

---

Entry 20:
A plane-wave DFT calculation with PBE was carried out for a relaxed structure of CuTeI2.

Values from the calculation:
For the density of states at the Fermi level, the calculation gives 6.2 states/eV/f.u. The value obtained for the formation energy without anion corrections is 260 kJ/mol of formula units. As for the electronic total energy: -1.912 eV per atom.

Cell lengths 5.420, 5.420, 5.420 Å; angles 60.00, 60.00, 60.00 degrees
Fractional positions:
1 Cu 0.000 0.000 0.000
2 Te 0.500 0.500 0.500
3 I 0.250 0.250 0.250
4 I 0.750 0.750 0.750